(1)
Compound: LiTcBi3
Source: the Alexandria database
Functional: PBE-GGA
Structure: optimized geometry

Structure (CIF):
```
data_LiTcBi3
_symmetry_space_group_name_H-M 'P m -3 m'
_symmetry_Int_Tables_number 221
_symmetry_space_group_name_Hall '-P 4 2 3'
_cell_length_a 5.3968
_cell_length_b 5.3968
_cell_length_c 5.3968
_cell_angle_alpha 90.00
_cell_angle_beta 90.00
_cell_angle_gamma 90.00
loop_
_atom_site_label
_atom_site_type_symbol
_atom_site_fract_x
_atom_site_fract_y
_atom_site_fract_z
Li1 Li 0.0000 0.0000 0.0000
Tc1 Tc 0.5000 0.5000 0.5000
Bi1 Bi 0.0000 0.5000 0.5000
```

Properties
ΔH_f (0 K) in eV per atom: 0.45
ρ in g/cm³: 7.7

(2)
Compound: Li2TcBiW
Source: the Alexandria database
Functional: PBE-GGA
Structure: optimized geometry

Structure (CIF):
```
data_Li2TcBiW
_symmetry_space_group_name_H-M 'P 4/m m m'
_symmetry_Int_Tables_number 123
_symmetry_space_group_name_Hall '-P 4 2'
_cell_length_a 4.5901
_cell_length_b 4.5901
_cell_length_c 5.1167
_cell_angle_alpha 90.00
_cell_angle_beta 90.00
_cell_angle_gamma 90.00
loop_
_atom_site_label
_atom_site_type_symbol
_atom_site_fract_x
_atom_site_fract_y
_atom_site_fract_z
Li1 Li 0.0000 0.5000 0.0000
Tc1 Tc 0.0000 0.0000 0.0000
Bi1 Bi 0.0000 0.0000 0.5000
W1 W 0.5000 0.5000 0.5000
```

Properties
ΔH_f (0 K) in eV per atom: 1.63
ρ in g/cm³: 7.8

(3)
Compound: LiYTcBi2
Source: the Alexandria database
Functional: PBE-GGA
Structure: optimized geometry

Structure (CIF):
```
data_LiYTcBi2
_symmetry_space_group_name_H-M 'P 4/m m m'
_symmetry_Int_Tables_number 123
_symmetry_space_group_name_Hall '-P 4 2'
_cell_length_a 5.3091
_cell_length_b 5.3091
_cell_length_c 4.6882
_cell_angle_alpha 90.00
_cell_angle_beta 90.00
_cell_angle_gamma 90.00
loop_
_atom_site_label
_atom_site_type_symbol
_atom_site_fract_x
_atom_site_fract_y
_atom_site_fract_z
Li1 Li 0.0000 0.0000 0.0000
Y1 Y 0.5000 0.5000 0.0000
Tc1 Tc 0.0000 0.0000 0.5000
Bi1 Bi 0.0000 0.5000 0.5000
```

Properties
ΔH_f (0 K) in eV per atom: 0.26
ρ in g/cm³: 7.7

(4)
Compound: LiBiTe2
Source: the Alexandria database
Functional: PBE-GGA
Structure: optimized geometry

Structure (CIF):
```
data_LiBiTe2
_symmetry_space_group_name_H-M 'R 3 m'
_symmetry_Int_Tables_number 160
_symmetry_space_group_name_Hall 'R 3 -2"'
_cell_length_a 4.3759
_cell_length_b 4.3759
_cell_length_c 22.7708
_cell_angle_alpha 90.00
_cell_angle_beta 90.00
_cell_angle_gamma 120.00
loop_
_atom_site_label
_atom_site_type_symbol
_atom_site_fract_x
_atom_site_fract_y
_atom_site_fract_z
Li1 Li 0.0000 0.0000 0.0000
Bi1 Bi 0.0000 0.0000 0.8249
Te1 Te 0.0000 0.0000 0.2402
Te2 Te 0.0000 0.0000 0.4065
```

Properties
DFT total energy in eV/atom: -3.498
ρ in g/cm³: 6.2

(5)
Compound: LiBiTe2
Source: the Alexandria database
Functional: PBE-GGA
Structure: optimized geometry

Structure (CIF):
```
data_LiBiTe2
_symmetry_space_group_name_H-M 'P 4/m m m'
_symmetry_Int_Tables_number 123
_symmetry_space_group_name_Hall '-P 4 2'
_cell_length_a 4.4598
_cell_length_b 4.4598
_cell_length_c 6.1248
_cell_angle_alpha 90.00
_cell_angle_beta 90.00
_cell_angle_gamma 90.00
loop_
_atom_site_label
_atom_site_type_symbol
_atom_site_fract_x
_atom_site_fract_y
_atom_site_fract_z
Li1 Li 0.0000 0.0000 0.0000
Bi1 Bi 0.5000 0.5000 0.5000
Te1 Te 0.0000 0.0000 0.5000
Te2 Te 0.5000 0.5000 0.0000
```

Properties
DFT total energy in eV/atom: -3.453
ρ in g/cm³: 6.4

(6)
Compound: LiBiTe2
Source: the Alexandria database
Functional: PBE-GGA
Structure: optimized geometry

Structure (CIF):
```
data_LiBiTe2
_symmetry_space_group_name_H-M 'I -4 2 d'
_symmetry_Int_Tables_number 122
_symmetry_space_group_name_Hall 'I -4 2bw'
_cell_length_a 6.6529
_cell_length_b 6.6529
_cell_length_c 13.8384
_cell_angle_alpha 90.00
_cell_angle_beta 90.00
_cell_angle_gamma 90.00
loop_
_atom_site_label
_atom_site_type_symbol
_atom_site_fract_x
_atom_site_fract_y
_atom_site_fract_z
Li1 Li 0.0000 0.0000 0.0000
Bi1 Bi 0.0000 0.0000 0.5000
Te1 Te 0.2168 0.2500 0.1250
```

Properties
DFT total energy in eV/atom: -3.435
ρ in g/cm³: 5.1

(7)
Compound: LiBiTe2
Source: the Alexandria database
Functional: PBE-GGA
Structure: optimized geometry

Structure (CIF):
```
data_LiBiTe2
_symmetry_space_group_name_H-M 'R -3 m'
_symmetry_Int_Tables_number 166
_symmetry_space_group_name_Hall '-R 3 2"'
_cell_length_a 3.5525
_cell_length_b 3.5525
_cell_length_c 30.8751
_cell_angle_alpha 90.00
_cell_angle_beta 90.00
_cell_angle_gamma 120.00
loop_
_atom_site_label
_atom_site_type_symbol
_atom_site_fract_x
_atom_site_fract_y
_atom_site_fract_z
Li1 Li 0.0000 0.0000 0.0000
Bi1 Bi 0.0000 0.0000 0.5000
Te1 Te 0.0000 0.0000 0.3988
```

Properties
DFT total energy in eV/atom: -3.250
ρ in g/cm³: 7.0

(8)
Compound: Li2BiTe
Source: the Alexandria database
Functional: PBE-GGA
Structure: optimized geometry

Structure (CIF):
```
data_Li2BiTe
_symmetry_space_group_name_H-M 'F m -3 m'
_symmetry_Int_Tables_number 225
_symmetry_space_group_name_Hall '-F 4 2 3'
_cell_length_a 7.2111
_cell_length_b 7.2111
_cell_length_c 7.2111
_cell_angle_alpha 90.00
_cell_angle_beta 90.00
_cell_angle_gamma 90.00
loop_
_atom_site_label
_atom_site_type_symbol
_atom_site_fract_x
_atom_site_fract_y
_atom_site_fract_z
Li1 Li 0.2500 0.2500 0.2500
Bi1 Bi 0.0000 0.0000 0.0000
Te1 Te 0.0000 0.0000 0.5000
```

Properties
DFT total energy in eV/atom: -3.117
ρ in g/cm³: 6.2

(9)
Compound: LiBi3Te4
Source: the Alexandria database
Functional: PBE-GGA
Structure: optimized geometry

Structure (CIF):
```
data_LiBi3Te4
_symmetry_space_group_name_H-M 'P m n 21'
_symmetry_Int_Tables_number 31
_cell_length_a 10.2668
_cell_length_b 9.3386
_cell_length_c 6.4669
_cell_angle_alpha 90.00
_cell_angle_beta 90.00
_cell_angle_gamma 90.00
loop_
_symmetry_equiv_pos_as_xyz
'x,y,z'
'-x+1/2,-y,z+1/2'
'-x,y,z'
'x+1/2,-y,z+1/2'
loop_
_atom_site_label
_atom_site_type_symbol
_atom_site_fract_x
_atom_site_fract_y
_atom_site_fract_z
Li1 Li 0.0000 0.2095 0.0000
Bi1 Bi 0.0000 0.8767 0.5299
Bi2 Bi 0.2216 0.6703 0.0241
Te1 Te 0.0000 0.2203 0.5285
Te2 Te 0.0000 0.8901 0.0339
Te3 Te 0.2296 0.6714 0.5225
```

Properties
DFT total energy in eV/atom: -3.456
ρ in g/cm³: 6.1

(10)
Compound: LiBi3Te4
Source: the Alexandria database
Functional: PBE-GGA
Structure: optimized geometry

Structure (CIF):
```
data_LiBi3Te4
_symmetry_space_group_name_H-M 'C m m m'
_symmetry_Int_Tables_number 65
_symmetry_space_group_name_Hall '-C 2 2'
_cell_length_a 8.8022
_cell_length_b 12.7020
_cell_length_c 4.6811
_cell_angle_alpha 90.00
_cell_angle_beta 90.00
_cell_angle_gamma 90.00
loop_
_atom_site_label
_atom_site_type_symbol
_atom_site_fract_x
_atom_site_fract_y
_atom_site_fract_z
Li1 Li 0.0000 0.0000 0.0000
Bi1 Bi 0.0000 0.5000 0.0000
Bi2 Bi 0.2500 0.2500 0.5000
Te1 Te 0.0000 0.2478 0.0000
Te2 Te 0.2464 0.0000 0.5000
```

Properties
DFT total energy in eV/atom: -3.536
ρ in g/cm³: 7.3

(11)
Compound: LiBiTe3
Source: the Alexandria database
Functional: PBE-GGA
Structure: optimized geometry

Structure (CIF):
```
data_LiBiTe3
_symmetry_space_group_name_H-M 'P m -3 m'
_symmetry_Int_Tables_number 221
_symmetry_space_group_name_Hall '-P 4 2 3'
_cell_length_a 5.1551
_cell_length_b 5.1551
_cell_length_c 5.1551
_cell_angle_alpha 90.00
_cell_angle_beta 90.00
_cell_angle_gamma 90.00
loop_
_atom_site_label
_atom_site_type_symbol
_atom_site_fract_x
_atom_site_fract_y
_atom_site_fract_z
Li1 Li 0.0000 0.0000 0.0000
Bi1 Bi 0.5000 0.5000 0.5000
Te1 Te 0.0000 0.0000 0.5000
```

Properties
DFT total energy in eV/atom: -2.922
ρ in g/cm³: 7.3

(12)
Compound: LiBiTe3
Source: the Alexandria database
Functional: PBE-GGA
Structure: optimized geometry

Structure (CIF):
```
data_LiBiTe3
_symmetry_space_group_name_H-M 'P m -3 m'
_symmetry_Int_Tables_number 221
_symmetry_space_group_name_Hall '-P 4 2 3'
_cell_length_a 5.9622
_cell_length_b 5.9622
_cell_length_c 5.9622
_cell_angle_alpha 90.00
_cell_angle_beta 90.00
_cell_angle_gamma 90.00
loop_
_atom_site_label
_atom_site_type_symbol
_atom_site_fract_x
_atom_site_fract_y
_atom_site_fract_z
Li1 Li 0.0000 0.0000 0.0000
Bi1 Bi 0.5000 0.5000 0.5000
Te1 Te 0.0000 0.5000 0.5000
```

Properties
DFT total energy in eV/atom: -2.827
ρ in g/cm³: 4.7

(13)
Compound: Li2BiTe
Source: the Alexandria database
Functional: PBE-GGA
Structure: optimized geometry

Structure (CIF):
```
data_Li2BiTe
_symmetry_space_group_name_H-M 'R -3 m'
_symmetry_Int_Tables_number 166
_symmetry_space_group_name_Hall '-R 3 2"'
_cell_length_a 3.5908
_cell_length_b 3.5908
_cell_length_c 28.2306
_cell_angle_alpha 90.00
_cell_angle_beta 90.00
_cell_angle_gamma 120.00
loop_
_atom_site_label
_atom_site_type_symbol
_atom_site_fract_x
_atom_site_fract_y
_atom_site_fract_z
Li1 Li 0.0000 0.0000 0.1001
Bi1 Bi 0.0000 0.0000 0.0000
Te1 Te 0.0000 0.0000 0.5000
```

Properties
DFT total energy in eV/atom: -3.099
ρ in g/cm³: 5.5

(14)
Compound: LiBiTe3
Source: the Alexandria database
Functional: PBE-GGA
Structure: optimized geometry

Structure (CIF):
```
data_LiBiTe3
_symmetry_space_group_name_H-M 'P 1 21/m 1'
_symmetry_Int_Tables_number 11
_cell_length_a 8.7167
_cell_length_b 4.3434
_cell_length_c 9.1173
_cell_angle_alpha 90.00
_cell_angle_beta 114.22
_cell_angle_gamma 90.00
loop_
_symmetry_equiv_pos_as_xyz
'x,y,z'
'-x,-y,-z'
'-x,y+1/2,-z'
'x,-y+1/2,z'
loop_
_atom_site_label
_atom_site_type_symbol
_atom_site_fract_x
_atom_site_fract_y
_atom_site_fract_z
Li1 Li 0.0182 0.2500 0.3103
Bi1 Bi 0.4976 0.2500 0.2515
Te1 Te 0.2199 0.2500 0.6504
Te2 Te 0.2490 0.7500 0.3138
Te3 Te 0.2649 0.7500 0.0037
```

Properties
DFT total energy in eV/atom: -3.337
ρ in g/cm³: 6.3

(15)
Compound: Li8BiTe2
Source: the Alexandria database
Functional: PBE-GGA
Structure: optimized geometry

Structure (CIF):
```
data_Li8BiTe2
_symmetry_space_group_name_H-M 'P 1'
_symmetry_Int_Tables_number 1
_cell_length_a 4.6699
_cell_length_b 6.6330
_cell_length_c 8.3392
_cell_angle_alpha 113.43
_cell_angle_beta 106.16
_cell_angle_gamma 90.06
loop_
_symmetry_equiv_pos_as_xyz
'x,y,z'
loop_
_atom_site_label
_atom_site_type_symbol
_atom_site_fract_x
_atom_site_fract_y
_atom_site_fract_z
Li1 Li 0.0000 0.0000 0.0000
Li2 Li 0.0221 0.5209 0.0446
Li3 Li 0.2059 0.0175 0.3835
Li4 Li 0.3607 0.8601 0.7226
Li5 Li 0.3838 0.3838 0.7679
Li6 Li 0.5926 0.2517 0.1821
Li7 Li 0.6974 0.7249 0.3837
Li8 Li 0.7933 0.4512 0.5835
Bi1 Bi 0.1942 0.4605 0.3835
Te1 Te 0.5293 0.7961 0.0602
Te2 Te 0.8529 0.1197 0.7075
```

Properties
DFT total energy in eV/atom: -2.989
ρ in g/cm³: 3.8

(16)
Compound: LiBi5Te8
Source: the Alexandria database
Functional: PBE-GGA
Structure: optimized geometry

Structure (CIF):
```
data_LiBi5Te8
_symmetry_space_group_name_H-M 'F -4 3 m'
_symmetry_Int_Tables_number 216
_symmetry_space_group_name_Hall 'F -4 2 3'
_cell_length_a 12.9945
_cell_length_b 12.9945
_cell_length_c 12.9945
_cell_angle_alpha 90.00
_cell_angle_beta 90.00
_cell_angle_gamma 90.00
loop_
_atom_site_label
_atom_site_type_symbol
_atom_site_fract_x
_atom_site_fract_y
_atom_site_fract_z
Li1 Li 0.0000 0.0000 0.0000
Bi1 Bi 0.1310 0.1310 0.3690
Bi2 Bi 0.2500 0.2500 0.7500
Te1 Te 0.1157 0.1157 0.6157
Te2 Te 0.1292 0.1292 0.1292
```

Properties
DFT total energy in eV/atom: -3.584
ρ in g/cm³: 6.3

(17)
Compound: Li4Bi2Te
Source: the Alexandria database
Functional: PBE-GGA
Structure: optimized geometry

Structure (CIF):
```
data_Li4Bi2Te
_symmetry_space_group_name_H-M 'I 4/m m m'
_symmetry_Int_Tables_number 139
_symmetry_space_group_name_Hall '-I 4 2'
_cell_length_a 5.4518
_cell_length_b 5.4518
_cell_length_c 13.8918
_cell_angle_alpha 90.00
_cell_angle_beta 90.00
_cell_angle_gamma 90.00
loop_
_atom_site_label
_atom_site_type_symbol
_atom_site_fract_x
_atom_site_fract_y
_atom_site_fract_z
Li1 Li 0.0000 0.0000 0.1865
Li2 Li 0.0000 0.5000 0.0000
Bi1 Bi 0.0000 0.0000 0.3924
Te1 Te 0.0000 0.0000 0.0000
```

Properties
DFT total energy in eV/atom: -2.878
ρ in g/cm³: 4.6

(18)
Compound: Li2BiTe
Source: the Alexandria database
Functional: PBE-GGA
Structure: optimized geometry

Structure (CIF):
```
data_Li2BiTe
_symmetry_space_group_name_H-M 'I -4 2 d'
_symmetry_Int_Tables_number 122
_symmetry_space_group_name_Hall 'I -4 2bw'
_cell_length_a 7.9676
_cell_length_b 7.9676
_cell_length_c 6.3554
_cell_angle_alpha 90.00
_cell_angle_beta 90.00
_cell_angle_gamma 90.00
loop_
_atom_site_label
_atom_site_type_symbol
_atom_site_fract_x
_atom_site_fract_y
_atom_site_fract_z
Li1 Li 0.2161 0.2500 0.1250
Bi1 Bi 0.0000 0.0000 0.5000
Te1 Te 0.0000 0.0000 0.0000
```

Properties
DFT total energy in eV/atom: -3.110
ρ in g/cm³: 5.8

(19)
Compound: LiBiTe2
Source: the Alexandria database
Functional: PBE-GGA
Structure: optimized geometry

Structure (CIF):
```
data_LiBiTe2
_symmetry_space_group_name_H-M 'R -3 m'
_symmetry_Int_Tables_number 166
_symmetry_space_group_name_Hall '-R 3 2"'
_cell_length_a 4.4140
_cell_length_b 4.4140
_cell_length_c 21.3114
_cell_angle_alpha 90.00
_cell_angle_beta 90.00
_cell_angle_gamma 120.00
loop_
_atom_site_label
_atom_site_type_symbol
_atom_site_fract_x
_atom_site_fract_y
_atom_site_fract_z
Li1 Li 0.0000 0.0000 0.0000
Bi1 Bi 0.0000 0.0000 0.5000
Te1 Te 0.0000 0.0000 0.2546
```

Properties
DFT total energy in eV/atom: -3.542
ρ in g/cm³: 6.5

(20)
Compound: LiBi2Te4
Source: the Alexandria database
Functional: PBE-GGA
Structure: optimized geometry

Structure (CIF):
```
data_LiBi2Te4
_symmetry_space_group_name_H-M 'C m c m'
_symmetry_Int_Tables_number 63
_symmetry_space_group_name_Hall '-C 2c 2'
_cell_length_a 4.4700
_cell_length_b 14.8201
_cell_length_c 14.3038
_cell_angle_alpha 90.00
_cell_angle_beta 90.00
_cell_angle_gamma 90.00
loop_
_atom_site_label
_atom_site_type_symbol
_atom_site_fract_x
_atom_site_fract_y
_atom_site_fract_z
Li1 Li 0.0000 0.0809 0.2500
Bi1 Bi 0.0000 0.3636 0.0724
Te1 Te 0.0000 0.0000 0.0000
Te2 Te 0.0000 0.2712 0.6371
Te3 Te 0.0000 0.4741 0.2500
```

Properties
DFT total energy in eV/atom: -3.437
ρ in g/cm³: 6.6